Entry 1:
First-principles (GGA-PBE) data for a relaxed structure of CaPrBN2, as listed in Alexandria via LeMat-Bulk.

The structure in extended XYZ format:
```
10
Lattice="4.007 0.000 0.000 0.000 5.913 -0.048 0.000 -1.896 7.394" Properties=species:S:1:pos:R:3 pbc="T T T"
N 0.000 3.683 4.107
N 0.000 -0.615 6.937
N 4.006 4.631 0.409
N 4.006 0.333 3.240
B 0.000 -0.948 3.697
B 0.000 0.000 0.000
Pr 4.007 2.482 1.825
Pr 0.000 1.534 5.522
Ca 2.003 -1.422 5.546
Ca 2.003 -0.474 1.849
```

Output
Uncorrected formation energy, meV/atom: -851
Energy, eV/atom: -6.87


Entry 2:
First-principles (GGA-PBE) data for a relaxed structure of CaBRuN2, as listed in Alexandria via LeMat-Bulk.

The structure in extended XYZ format:
```
5
Lattice="-3.138 1.452 -2.075 -3.531 -3.356 2.991 -0.459 2.923 2.739" Properties=species:S:1:pos:R:3 pbc="T T T"
N -0.229 1.462 1.369
N -1.569 0.726 -1.037
Ru -1.765 -1.678 1.495
B -3.563 0.510 1.827
Ca 0.000 0.000 0.000
```

Output
Uncorrected formation energy, meV/atom: 2934
Energy, eV/atom: -3.99


Entry 3:
First-principles (GGA-PBE) data for a relaxed structure of CaBSN2, as listed in Alexandria via LeMat-Bulk.

The structure in extended XYZ format:
```
5
Lattice="4.586 0.000 0.000 0.000 4.586 0.000 0.000 0.000 5.536" Properties=species:S:1:pos:R:3 pbc="T T T"
S 0.000 0.000 2.768
N 2.293 0.000 0.000
N 0.000 2.293 0.000
Ca 0.000 0.000 0.000
B 2.293 2.293 2.768
```

Output
Uncorrected formation energy, meV/atom: 2213
Energy, eV/atom: -3.68